(1)
# SmMg2Au2

Crystalline SmMg2Au2 at its relaxed geometry (PBE, the Alexandria database).

## Properties
Energy of formation from the pure elements (eV/atom): -0.584

a b c (Å): 4.160 4.160 6.489
angles (deg): 90.00 90.00 90.00
Space group P4/mmm (No. 123)
Unique sites:
1 Sm 0.000 0.000 0.000 [1 per cell]
2 Mg 0.000 0.500 0.500 [2 per cell]
3 Au 0.500 0.500 0.214 [2 per cell]


(2)
# CoNiRh2

Crystalline CoNiRh2 at its relaxed geometry (PBE, the Alexandria database).

## Properties
Energy of formation from the pure elements (eV/atom): 0.151

a b c (Å): 5.932 5.932 5.932
angles (deg): 90.00 90.00 90.00
Space group Fm-3m (No. 225)
Unique sites:
1 Co 0.000 0.000 0.000 [4 per cell]
2 Ni 0.000 0.000 0.500 [4 per cell]
3 Rh 0.250 0.250 0.250 [8 per cell]


(3)
# Nd2SiW

Crystalline Nd2SiW at its relaxed geometry (PBE, the Alexandria database).

a b c (Å): 3.1504 3.1504 32.4325
angles (deg): 90.00 90.00 120.00
Space group R-3m (No. 166, hexagonal axes)
Unique sites:
1 Nd 0.0000 0.0000 0.0906 [6 per cell]
2 Si 0.0000 0.0000 0.5000 [3 per cell]
3 W 0.0000 0.0000 0.0000 [3 per cell]


(4)
# LaTbMg2

Crystalline LaTbMg2 at its relaxed geometry (PBE, the Alexandria database).

## Properties
Energy of formation from the pure elements (eV/atom): -0.096

a b c (Å): 5.468 5.468 3.904
angles (deg): 90.00 90.00 90.00
Space group P4/mmm (No. 123)
Unique sites:
1 La 0.000 0.000 0.000 [1 per cell]
2 Tb 0.500 0.500 0.000 [1 per cell]
3 Mg 0.000 0.500 0.500 [2 per cell]


(5)
# NaRe3Ir

Crystalline NaRe3Ir at its relaxed geometry (PBE, the Alexandria database).

## Properties
Energy of formation from the pure elements (eV/atom): 3.022

a b c (Å): 4.357 4.357 4.357
angles (deg): 90.00 90.00 90.00
Space group Pm-3m (No. 221)
Unique sites:
1 Na 0.000 0.000 0.000 [1 per cell]
2 Re 0.000 0.000 0.500 [3 per cell]
3 Ir 0.500 0.500 0.500 [1 per cell]


(6)
# PmAgPb2Se4

Crystalline PmAgPb2Se4 at its relaxed geometry (PBE, the Alexandria database).

a b c (Å): 7.293 4.278 7.546
angles (deg): 90.00 109.63 90.00
Space group P2/m (No. 10)
Unique sites:
1 Pm 0.000 0.000 0.000 [1 per cell]
2 Ag 0.500 0.500 0.000 [1 per cell]
3 Pb 0.000 0.500 0.500 [1 per cell]
4 Pb 0.500 0.000 0.500 [1 per cell]
5 Se 0.243 0.500 0.236 [2 per cell]
6 Se 0.258 0.000 0.770 [2 per cell]


(7)
# CrIn2Si

Crystalline CrIn2Si at its relaxed geometry (PBE, the Alexandria database).

a b c (Å): 3.874 3.988 10.209
angles (deg): 90.00 90.00 90.00
Space group Amm2 (No. 38)
Unique sites:
1 Cr 0.000 0.000 0.000 [2 per cell]
2 In 0.000 0.000 0.719 [2 per cell]
3 In 0.500 0.000 0.416 [2 per cell]
4 Si 0.500 0.000 0.137 [2 per cell]


(8)
# HoPRu

Crystalline HoPRu at its relaxed geometry (PBE, the Alexandria database).

## Properties
Energy of formation from the pure elements (eV/atom): -1.002

a b c (Å): 4.013 4.013 6.681
angles (deg): 90.00 90.00 90.00
Space group P4/nmm (No. 129, origin choice 2)
Unique sites:
1 Ho 0.250 0.250 0.169 [2 per cell]
2 P 0.250 0.250 0.701 [2 per cell]
3 Ru 0.250 0.750 0.500 [2 per cell]


(9)
# Sm6PtAu2

Crystalline Sm6PtAu2 at its relaxed geometry (PBE, the Alexandria database).

## Properties
Energy of formation from the pure elements (eV/atom): -0.580

a b c (Å): 6.834 7.485 12.224
angles (deg): 90.00 120.70 90.00
Space group P2_1/c (No. 14)
Unique sites:
1 Sm 0.099 0.194 0.434 [4 per cell]
2 Sm 0.256 0.674 0.431 [4 per cell]
3 Sm 0.392 0.033 0.241 [4 per cell]
4 Pt 0.500 0.000 0.500 [2 per cell]
5 Au 0.174 0.112 0.732 [4 per cell]


(10)
# CuNiIr

Crystalline CuNiIr at its relaxed geometry (PBE, the Alexandria database).

## Properties
Energy of formation from the pure elements (eV/atom): 0.480

a b c (Å): 5.580 5.580 5.580
angles (deg): 90.00 90.00 90.00
Space group F-43m (No. 216)
Unique sites:
1 Cu 0.000 0.000 0.000 [4 per cell]
2 Ni 0.250 0.250 0.750 [4 per cell]
3 Ir 0.000 0.000 0.500 [4 per cell]


(11)
# La3Sm6Dy2Mg

Crystalline La3Sm6Dy2Mg at its relaxed geometry (PBE, the Alexandria database).

## Properties
Energy of formation from the pure elements (eV/atom): 0.033

a b c (Å): 6.269 10.872 11.933
angles (deg): 90.00 100.16 90.00
Space group C2/m (No. 12)
Unique sites:
1 La 0.000 0.000 0.000 [2 per cell]
2 La 0.000 0.333 0.000 [4 per cell]
3 Sm 0.245 0.334 0.743 [8 per cell]
4 Sm 0.249 0.000 0.744 [4 per cell]
5 Dy 0.000 0.167 0.500 [4 per cell]
6 Mg 0.000 0.500 0.500 [2 per cell]


(12)
# Rb2TiNi2Se4

Crystalline Rb2TiNi2Se4 at its relaxed geometry (PBE, the Alexandria database).

a b c (Å): 14.138 3.808 8.117
angles (deg): 90.00 107.06 90.00
Space group C2/m (No. 12)
Unique sites:
1 Rb 0.134 0.000 0.060 [4 per cell]
2 Ti 0.000 0.000 0.500 [2 per cell]
3 Ni 0.182 0.500 0.488 [4 per cell]
4 Se 0.018 0.500 0.288 [4 per cell]
5 Se 0.192 0.000 0.664 [4 per cell]


Let's list magnetic moment in order: 0.000; 19.783; 0.000; 0.000; 0.838; 0.000; 4.790; 0.000; 0.000; 8.130; 0.000; 1.206 μB/cell.
Let's list E_tot in order: -17.4; -107.9; -74.6; -13.1; -32.4; -35.7; -38.8; -44.5; -92.3; -69.2; -107.0; -85.5 eV for the cell shown.